Model one:
# GGA-PBE AlFeOs3, relaxed
# - M_tot (μB per formula unit) = 0.000
data_AlFeOs3
_cell_length_a 4.346
_cell_length_b 4.346
_cell_length_c 4.346
_cell_angle_alpha 90.00
_cell_angle_beta 90.00
_cell_angle_gamma 90.00
_symmetry_space_group_name_H-M 'P m -3 m'
_symmetry_Int_Tables_number 221
_symmetry_space_group_name_Hall '-P 4 2 3'
loop_
_atom_site_label
_atom_site_fract_x
_atom_site_fract_y
_atom_site_fract_z
Al1 0.000 0.000 0.000
Fe1 0.500 0.500 0.500
Os1 0.000 0.000 0.500

***

Model two:
# GGA-PBE AlFeOs3, relaxed
# - M_tot (μB per formula unit) = 0.000
data_AlFeOs3
_cell_length_a 4.399
_cell_length_b 4.399
_cell_length_c 4.399
_cell_angle_alpha 90.00
_cell_angle_beta 90.00
_cell_angle_gamma 90.00
_symmetry_space_group_name_H-M 'P m -3 m'
_symmetry_Int_Tables_number 221
_symmetry_space_group_name_Hall '-P 4 2 3'
loop_
_atom_site_label
_atom_site_fract_x
_atom_site_fract_y
_atom_site_fract_z
Al1 0.000 0.000 0.000
Fe1 0.500 0.500 0.500
Os1 0.000 0.500 0.500

***

In terms of stability, model two leads; the second structure lies 37.8 kJ/mol of atoms higher.

***

Model one:
# GGA-PBE AlFe2P, relaxed
# - M_tot (μB per formula unit) = 1.950
data_AlFe2P
_cell_length_a 6.528
_cell_length_b 6.528
_cell_length_c 4.983
_cell_angle_alpha 90.00
_cell_angle_beta 90.00
_cell_angle_gamma 90.00
_symmetry_space_group_name_H-M 'I -4 2 d'
_symmetry_Int_Tables_number 122
_symmetry_space_group_name_Hall 'I -4 2bw'
loop_
_atom_site_label
_atom_site_fract_x
_atom_site_fract_y
_atom_site_fract_z
Al1 0.000 0.000 0.000
Fe1 0.178 0.750 0.625
P1 0.000 0.000 0.500

***

Model two:
# GGA-PBE AlFe2P, relaxed
# - M_tot (μB per formula unit) = 1.694
data_AlFe2P
_cell_length_a 7.584
_cell_length_b 2.817
_cell_length_c 4.534
_cell_angle_alpha 90.00
_cell_angle_beta 104.36
_cell_angle_gamma 90.00
_symmetry_space_group_name_H-M 'C 1 2/m 1'
_symmetry_Int_Tables_number 12
_symmetry_space_group_name_Hall '-C 2y'
loop_
_atom_site_label
_atom_site_fract_x
_atom_site_fract_y
_atom_site_fract_z
Al1 0.000 0.000 0.000
Fe1 0.231 0.000 0.719
P1 0.000 0.500 0.500

***

Model three:
# GGA-PBE AlFe2P, relaxed
# - M_tot (μB per formula unit) = 1.491
data_AlFe2P
_cell_length_a 2.7174
_cell_length_b 2.7174
_cell_length_c 22.0730
_cell_angle_alpha 90.00
_cell_angle_beta 90.00
_cell_angle_gamma 120.00
_symmetry_space_group_name_H-M 'R -3 m'
_symmetry_Int_Tables_number 166
_symmetry_space_group_name_Hall '-R 3 2"'
loop_
_atom_site_label
_atom_site_fract_x
_atom_site_fract_y
_atom_site_fract_z
Al1 0.0000 0.0000 0.0000
Fe1 0.0000 0.0000 0.2415
P1 0.0000 0.0000 0.5000

***

In terms of stability, model three leads; the second structure lies 1.4 kJ/mol of atoms higher.

***

Model one:
# GGA-PBE AlFe3P, relaxed
# - M_tot (μB per formula unit) = 5.479
data_AlFe3P
_cell_length_a 4.137
_cell_length_b 4.137
_cell_length_c 4.137
_cell_angle_alpha 90.00
_cell_angle_beta 90.00
_cell_angle_gamma 90.00
_symmetry_space_group_name_H-M 'P m -3 m'
_symmetry_Int_Tables_number 221
_symmetry_space_group_name_Hall '-P 4 2 3'
loop_
_atom_site_label
_atom_site_fract_x
_atom_site_fract_y
_atom_site_fract_z
Al1 0.000 0.000 0.000
Fe1 0.000 0.500 0.500
P1 0.500 0.500 0.500

***

Model two:
# GGA-PBE AlFe3P, relaxed
# - M_tot (μB per formula unit) = 7.512
data_AlFe3P
_cell_length_a 4.321
_cell_length_b 4.321
_cell_length_c 4.321
_cell_angle_alpha 90.00
_cell_angle_beta 90.00
_cell_angle_gamma 90.00
_symmetry_space_group_name_H-M 'P m -3 m'
_symmetry_Int_Tables_number 221
_symmetry_space_group_name_Hall '-P 4 2 3'
loop_
_atom_site_label
_atom_site_fract_x
_atom_site_fract_y
_atom_site_fract_z
Al1 0.000 0.000 0.000
Fe1 0.000 0.000 0.500
P1 0.500 0.500 0.500

***

In terms of stability, model one leads; the second structure lies 102.5 kJ/mol of atoms higher.